No. 1
A plane-wave DFT calculation with PBE was carried out for an optimized crystal structure of HoSc2GeC.

Properties
ΔH_f (0 K), eV per atom: -0.669

Cell lengths 4.476, 4.476, 4.770 Å; angles 90.00, 90.00, 90.00 degrees
Space group P4/mmm (No. 123)
One atom of each set of equivalent atoms:
Ho (0.000, 0.000, 0.000) x1
Sc (0.000, 0.500, 0.500) x2
Ge (0.500, 0.500, 0.000) x1
C (0.000, 0.000, 0.500) x1

=====

No. 2
A plane-wave DFT calculation with PBE was carried out for an optimized crystal structure of Ce4InRh12.

Properties
ΔH_f (0 K), eV per atom: -0.537

Cell lengths 8.455, 8.455, 8.455 Å; angles 90.00, 90.00, 90.00 degrees
Space group Im-3m (No. 229)
One atom of each set of equivalent atoms:
Ce (0.250, 0.250, 0.250) x8
In (0.000, 0.000, 0.000) x2
Rh (0.000, 0.000, 0.304) x12
Rh (0.000, 0.250, 0.500) x12

=====

No. 3
A plane-wave DFT calculation with PBE was carried out for an optimized crystal structure of Pr3NdCo2.

Properties
ΔH_f (0 K), eV per atom: -0.037

Cell lengths 17.230, 3.820, 12.313 Å; angles 90.00, 125.36, 90.00 degrees
Space group C2/m (No. 12)
One atom of each set of equivalent atoms:
Pr (0.085, 0.000, 0.444) x4
Pr (0.085, 0.000, 0.946) x4
Pr (0.159, 0.500, 0.752) x4
Nd (0.160, 0.500, 0.254) x4
Co (0.235, 0.500, 0.046) x4
Co (0.235, 0.500, 0.546) x4

=====

No. 4
A plane-wave DFT calculation with PBE was carried out for an optimized crystal structure of Ca2Zn15Au2.

Properties
ΔH_f (0 K), eV per atom: -0.227

Cell lengths 9.1195, 9.1195, 13.3461 Å; angles 90.00, 90.00, 120.00 degrees
Space group R-3m (No. 166, hexagonal axes)
One atom of each set of equivalent atoms:
Ca (0.0000, 0.0000, 0.1599) x6
Zn (0.0000, 0.2953, 0.5000) x18
Zn (0.0000, 0.5000, 0.0000) x9
Zn (0.0070, 0.5035, 0.6531) x18
Au (0.0000, 0.0000, 0.3899) x6

=====

No. 5
A plane-wave DFT calculation with PBE was carried out for an optimized crystal structure of K2NaI4.

Properties
Raw formation energy, eV per atom: -1.0317

Cell lengths 6.105, 6.105, 17.663 Å; angles 90.00, 90.00, 90.00 degrees
Space group I4/mmm (No. 139)
One atom of each set of equivalent atoms:
K (0.000, 0.000, 0.124) x4
Na (0.000, 0.000, 0.500) x2
I (0.000, 0.000, 0.319) x4
I (0.000, 0.500, 0.000) x4

=====

No. 6
A plane-wave DFT calculation with PBE was carried out for an optimized crystal structure of Pu2Ga3SbPt4.

Properties
Raw formation energy, eV per atom: -0.6965

Cell lengths 4.208, 4.208, 11.172 Å; angles 90.00, 90.00, 90.00 degrees
Space group P-4m2 (No. 115)
One atom of each set of equivalent atoms:
Pu (0.000, 0.500, 0.242) x2
Ga (0.000, 0.500, 0.870) x2
Ga (0.500, 0.500, 0.500) x1
Sb (0.000, 0.000, 0.500) x1
Pt (0.000, 0.000, 0.000) x1
Pt (0.000, 0.500, 0.650) x2
Pt (0.500, 0.500, 0.000) x1

=====

No. 7
A plane-wave DFT calculation with PBE was carried out for an optimized crystal structure of Li2FeW.

Properties
ΔH_f (0 K), eV per atom: 0.369

Cell lengths 2.538, 4.108, 5.562 Å; angles 90.00, 100.24, 90.00 degrees
Space group Pm (No. 6)
One atom of each set of equivalent atoms:
Li (0.000, 0.000, 0.000) x1
Li (0.273, 0.500, 0.781) x1
Fe (0.416, 0.000, 0.489) x1
W (0.715, 0.500, 0.311) x1

=====

No. 8
A plane-wave DFT calculation with PBE was carried out for an optimized crystal structure of CoBC2.

Properties
ΔH_f (0 K), eV per atom: 0.649

Cell lengths 4.060, 4.060, 8.041 Å; angles 90.00, 90.00, 90.00 degrees
Space group I-42d (No. 122)
One atom of each set of equivalent atoms:
Co (0.000, 0.000, 0.000) x4
B (0.000, 0.000, 0.500) x4
C (0.206, 0.250, 0.625) x8

=====

No. 9
A plane-wave DFT calculation with PBE was carried out for an optimized crystal structure of Pm5Nd3Er3.

Properties
ΔH_f (0 K), eV per atom: 0.743

Cell lengths 9.7524, 9.7524, 5.5755 Å; angles 90.00, 90.00, 120.00 degrees
Space group P-62m (No. 189)
One atom of each set of equivalent atoms:
Pm (0.0000, 0.7300, 0.0000) x3
Pm (0.3333, 0.6667, 0.0000) x2
Nd (0.0000, 0.5735, 0.5000) x3
Er (0.0000, 0.3683, 0.0000) x3

=====

No. 10
A plane-wave DFT calculation with PBE was carried out for an optimized crystal structure of Rb3Sm3SbO8.

Properties
Raw formation energy, eV per atom: -2.3626

Cell lengths 7.0775, 7.0775, 19.9992 Å; angles 90.00, 90.00, 120.00 degrees
Space group R-3m (No. 166, hexagonal axes)
One atom of each set of equivalent atoms:
Rb (0.0000, 0.5000, 0.0000) x9
Sm (0.0000, 0.5000, 0.5000) x9
Sb (0.0000, 0.0000, 0.5000) x3
O (0.0000, 0.0000, 0.2246) x6
O (0.0270, 0.5135, 0.2224) x18

=====

No. 11
A plane-wave DFT calculation with PBE was carried out for an optimized crystal structure of Tb8Ag2Pd.

Properties
ΔH_f (0 K), eV per atom: -0.230

Cell lengths 17.675, 5.203, 6.854 Å; angles 90.00, 105.14, 90.00 degrees
Space group C2/m (No. 12)
One atom of each set of equivalent atoms:
Tb (0.027, 0.000, 0.279) x4
Tb (0.090, 0.500, 0.947) x4
Tb (0.161, 0.500, 0.474) x4
Tb (0.201, 0.000, 0.819) x4
Ag (0.187, 0.000, 0.231) x4
Pd (0.000, 0.500, 0.500) x2

=====

No. 12
A plane-wave DFT calculation with PBE was carried out for an optimized crystal structure of CeAlH.

Properties
Final energy, eV per atom: -4.78

Cell lengths 4.176, 4.280, 6.263 Å; angles 90.00, 109.30, 90.00 degrees
Space group P2_1/m (No. 11)
One atom of each set of equivalent atoms:
Ce (0.157, 0.250, 0.315) x2
Al (0.438, 0.250, 0.876) x2
H (0.248, 0.750, 0.494) x2